*P*
Here is a relaxed structure of Li2Al2Cu from the Alexandria database. Energies are from PBE.

## Properties
- M_tot (μB per cell) = 0.0
- Fermi-level density of states (states/eV/cell) = 0.8
- theoretical density (Mg/m³) = 3.13
- SG = P-1 (2)

a b c (Å): 4.243 4.229 5.121
angles (deg): 90.28 65.76 59.74
Sites, in units of the cell vectors:
1 Li 0.385 0.307 0.423
2 Li 0.615 0.693 0.577
3 Al 0.784 0.108 0.824
4 Al 0.216 0.892 0.176
5 Cu 0.000 0.500 0.000

*Q*
Here is a relaxed structure of Li2Al2Cu from the Alexandria database. Energies are from PBE.

## Properties
- M_tot (μB per cell) = 0.0
- Fermi-level density of states (states/eV/cell) = 2.1
- theoretical density (Mg/m³) = 3.02
- SG = P4/mbm (127)

a b c (Å): 6.555 6.555 3.368
angles (deg): 90.00 90.00 90.00
Sites, in units of the cell vectors:
1 Al 0.164 0.664 0.500
2 Al 0.664 0.836 0.500
3 Al 0.836 0.336 0.500
4 Al 0.336 0.164 0.500
5 Cu 0.000 0.000 0.000
6 Cu 0.500 0.500 0.000
7 Li 0.363 0.863 0.000
8 Li 0.863 0.637 0.000
9 Li 0.637 0.137 0.000
10 Li 0.137 0.363 0.000

Question: of the structures shown, which is the most stable? Reply: *P*.